(1)
Crystalline Sr3W2O9 at its relaxed geometry, computed with PBEsol.

* DOS(E_F): 0.00 states/eV/atom
* spin magnetization: 0.00 μB/cell
* formation energy without anion corrections: -2640 meV/atom

Cell lengths 7.1903, 7.1903, 7.1903 Å; angles 85.15, 85.15, 85.15 degrees
Last column: nearest neighbours and their distance in Å.
Fractional coordinates of all 28 atoms:
Sr (0.0752, 0.7500, 0.4248)  12 O 2.68-2.92
Sr (0.2500, 0.5752, 0.9248)  12 O 2.68-2.92
Sr (0.4248, 0.0752, 0.7500)  12 O 2.68-2.92
Sr (0.5752, 0.9248, 0.2500)  12 O 2.68-2.92
Sr (0.7500, 0.4248, 0.0752)  12 O 2.68-2.92
Sr (0.9248, 0.2500, 0.5752)  12 O 2.68-2.92
W (0.1422, 0.1422, 0.1422)  3 O 1.82
W (0.3578, 0.3578, 0.3578)  3 O 1.82
W (0.6422, 0.6422, 0.6422)  3 O 1.82
W (0.8578, 0.8578, 0.8578)  3 O 1.82
O (0.0802, 0.2584, 0.9186)  1 W 1.82
O (0.0814, 0.9198, 0.7416)  1 W 1.82
O (0.0982, 0.4018, 0.2500)  2 W 2.07
O (0.2416, 0.4198, 0.5814)  1 W 1.82
O (0.2500, 0.0982, 0.4018)  2 W 2.07
O (0.2584, 0.9186, 0.0802)  1 W 1.82
O (0.4018, 0.2500, 0.0982)  2 W 2.07
O (0.4186, 0.7584, 0.5802)  1 W 1.82
O (0.4198, 0.5814, 0.2416)  1 W 1.82
O (0.5802, 0.4186, 0.7584)  1 W 1.82
O (0.5814, 0.2416, 0.4198)  1 W 1.82
O (0.5982, 0.7500, 0.9018)  2 W 2.07
O (0.7416, 0.0814, 0.9198)  1 W 1.82
O (0.7500, 0.9018, 0.5982)  2 W 2.07
O (0.7584, 0.5802, 0.4186)  1 W 1.82
O (0.9018, 0.5982, 0.7500)  2 W 2.07
O (0.9186, 0.0802, 0.2584)  1 W 1.82
O (0.9198, 0.7416, 0.0814)  1 W 1.82


(2)
Crystalline SrZnWO2 at its relaxed geometry, computed with PBEsol.

* DOS(E_F): 0.97 states/eV/atom
* spin magnetization: 3.51 μB/cell
* formation energy without anion corrections: 728 meV/atom

Cell lengths 4.2557, 4.2557, 4.7317 Å; angles 90.00, 90.00, 90.00 degrees
Last column: nearest neighbours and their distance in Å.
Fractional coordinates of all 5 atoms:
Sr (0.0000, 0.0000, 0.0000)  4 W 3.01, 8 O 3.18
Zn (0.5000, 0.5000, 0.5000)  4 O 2.13, 2 W 2.37
W (0.5000, 0.5000, 0.0000)  2 Zn 2.37
O (0.0000, 0.5000, 0.5000)  2 Zn 2.13
O (0.5000, 0.0000, 0.5000)  2 Zn 2.13


(3)
Crystalline Sr2ZnWO6 at its relaxed geometry, computed with PBEsol.

* DOS(E_F): 0.00 states/eV/atom
* spin magnetization: 0.00 μB/cell
* formation energy without anion corrections: -2492 meV/atom

Cell lengths 5.6132, 5.6035, 9.6892 Å; angles 90.00, 125.33, 90.00 degrees
Last column: nearest neighbours and their distance in Å.
Fractional coordinates of all 20 atoms:
Sr (0.2468, 0.0231, 0.2508)  8 O 2.51-2.79
Sr (0.2468, 0.4769, 0.7508)  8 O 2.51-2.79
Sr (0.7532, 0.5231, 0.2492)  8 O 2.51-2.79
Sr (0.7532, 0.9769, 0.7492)  8 O 2.51-2.79
Zn (0.5000, 0.0000, 0.0000)  6 O 2.08-2.09
Zn (0.5000, 0.5000, 0.5000)  6 O 2.08-2.09
W (0.0000, 0.0000, 0.5000)  6 O 1.92-1.93
W (0.0000, 0.5000, 0.0000)  6 O 1.92-1.93
O (0.1803, 0.2326, 0.9689)  1 W 1.93, 1 Zn 2.09
O (0.1803, 0.2674, 0.4689)  1 W 1.93, 1 Zn 2.09
O (0.2356, 0.7135, 0.9701)  1 W 1.93, 1 Zn 2.09
O (0.2356, 0.7865, 0.4701)  1 W 1.93, 1 Zn 2.09
O (0.2983, 0.0091, 0.7398)  1 W 1.92, 1 Zn 2.08
O (0.2983, 0.4909, 0.2398)  1 W 1.92, 1 Zn 2.08
O (0.7017, 0.5091, 0.7602)  1 W 1.92, 1 Zn 2.08
O (0.7017, 0.9909, 0.2602)  1 W 1.92, 1 Zn 2.08
O (0.7644, 0.2135, 0.5299)  1 W 1.93, 1 Zn 2.09
O (0.7644, 0.2865, 0.0299)  1 W 1.93, 1 Zn 2.09
O (0.8197, 0.7326, 0.5311)  1 W 1.93, 1 Zn 2.09
O (0.8197, 0.7674, 0.0311)  1 W 1.93, 1 Zn 2.09


(4)
Crystalline Sr2ZnWO6 at its relaxed geometry, computed with PBEsol.

* DOS(E_F): 0.00 states/eV/atom
* spin magnetization: 0.00 μB/cell
* formation energy without anion corrections: -2490 meV/atom

Cell lengths 5.6192, 5.6192, 5.6192 Å; angles 120.71, 120.71, 88.77 degrees
Last column: nearest neighbours and their distance in Å.
Fractional coordinates of all 10 atoms:
Sr (0.2500, 0.7500, 0.5000)  8 O 2.57-2.78
Sr (0.7500, 0.2500, 0.5000)  8 O 2.57-2.78
Zn (0.0000, 0.0000, 0.0000)  6 O 2.07-2.09
W (0.5000, 0.5000, 0.0000)  6 O 1.92-1.93
O (0.2139, 0.6942, 0.9080)  1 W 1.92, 1 Zn 2.07
O (0.2601, 0.2601, 0.0000)  1 W 1.93, 1 Zn 2.09
O (0.3058, 0.2139, 0.5197)  1 W 1.92, 1 Zn 2.07
O (0.6942, 0.7861, 0.4803)  1 W 1.92, 1 Zn 2.07
O (0.7399, 0.7399, 0.0000)  1 W 1.93, 1 Zn 2.09
O (0.7861, 0.3058, 0.0920)  1 W 1.92, 1 Zn 2.07


(5)
Crystalline SrZnO2 at its relaxed geometry, computed with PBEsol.

* DOS(E_F): 0.00 states/eV/atom
* spin magnetization: 0.00 μB/cell
* formation energy without anion corrections: -2033 meV/atom

Cell lengths 5.3202, 5.3202, 5.3202 Å; angles 115.17, 115.17, 98.60 degrees
Last column: nearest neighbours and their distance in Å.
Fractional coordinates of all 8 atoms:
Sr (0.0000, 0.0000, 0.0000)  4 O 2.44
Sr (0.7500, 0.2500, 0.5000)  4 O 2.44
Zn (0.2500, 0.7500, 0.5000)  4 O 1.98
Zn (0.5000, 0.5000, 0.0000)  4 O 1.98
O (0.1873, 0.1250, 0.5623)  2 Zn 1.98
O (0.3750, 0.8127, 0.9377)  2 Zn 1.98
O (0.5627, 0.6250, 0.4377)  2 Zn 1.98
O (0.8750, 0.4373, 0.0623)  2 Zn 1.98


(6)
Crystalline SrZrO3 at its relaxed geometry, computed with PBEsol.

* DOS(E_F): 0.00 states/eV/atom
* spin magnetization: 0.00 μB/cell
* formation energy without anion corrections: -3297 meV/atom

Cell lengths 4.1172, 4.1172, 4.1869 Å; angles 90.00, 90.00, 90.00 degrees
Last column: nearest neighbours and their distance in Å.
Fractional coordinates of all 5 atoms:
Sr (0.0000, 0.0000, 0.0000)  8 O 2.66-2.93
Zr (0.5000, 0.5000, 0.4523)  6 O 2.01-2.18
O (0.0000, 0.5000, 0.4036)  2 Zr 2.07
O (0.5000, 0.0000, 0.4036)  2 Zr 2.07
O (0.5000, 0.5000, 0.9323)  2 Zr 2.01-2.18


(7)
Crystalline Sr4Zr3O10 at its relaxed geometry, computed with PBEsol.

* DOS(E_F): 0.00 states/eV/atom
* spin magnetization: 0.00 μB/cell
* formation energy without anion corrections: -3276 meV/atom

Cell lengths 5.7891, 5.8147, 28.9739 Å; angles 90.00, 90.00, 90.00 degrees
Last column: nearest neighbours and their distance in Å.
Fractional coordinates of all 68 atoms:
Sr (0.0055, 0.0315, 0.0702)  6 O 2.52-2.81
Sr (0.0055, 0.4685, 0.5702)  6 O 2.52-2.81
Sr (0.0096, 0.5317, 0.7061)  5 O 2.43-2.70
Sr (0.0096, 0.9683, 0.2061)  5 O 2.43-2.70
Sr (0.4904, 0.0317, 0.7061)  5 O 2.43-2.70
Sr (0.4904, 0.4683, 0.2061)  5 O 2.43-2.70
Sr (0.4945, 0.5315, 0.0702)  6 O 2.52-2.81
Sr (0.4945, 0.9685, 0.5702)  6 O 2.52-2.81
Sr (0.5055, 0.0315, 0.4298)  6 O 2.52-2.81
Sr (0.5055, 0.4685, 0.9298)  6 O 2.52-2.81
Sr (0.5096, 0.5317, 0.7939)  5 O 2.43-2.70
Sr (0.5096, 0.9683, 0.2939)  5 O 2.43-2.70
Sr (0.9904, 0.0317, 0.7939)  5 O 2.43-2.70
Sr (0.9904, 0.4683, 0.2939)  5 O 2.43-2.70
Sr (0.9945, 0.5315, 0.4298)  6 O 2.52-2.81
Sr (0.9945, 0.9685, 0.9298)  6 O 2.52-2.81
Zr (0.0000, 0.0000, 0.5000)  6 O 2.09-2.10
Zr (0.0000, 0.5000, 0.0000)  6 O 2.09-2.10
Zr (0.0011, 0.5015, 0.8582)  6 O 2.08-2.11
Zr (0.0011, 0.9985, 0.3582)  6 O 2.08-2.11
Zr (0.4989, 0.0015, 0.8582)  6 O 2.08-2.11
Zr (0.4989, 0.4985, 0.3582)  6 O 2.08-2.11
Zr (0.5000, 0.0000, 0.0000)  6 O 2.09-2.10
Zr (0.5000, 0.5000, 0.5000)  6 O 2.09-2.10
Zr (0.5011, 0.5015, 0.6418)  6 O 2.08-2.11
Zr (0.5011, 0.9985, 0.1418)  6 O 2.08-2.11
Zr (0.9989, 0.0015, 0.6418)  6 O 2.08-2.11
Zr (0.9989, 0.4985, 0.1418)  6 O 2.08-2.11
O (0.0656, 0.5223, 0.2121)  1 Zr 2.08
O (0.0656, 0.9777, 0.7121)  1 Zr 2.08
O (0.0738, 0.5193, 0.9296)  2 Zr 2.09-2.11
O (0.0738, 0.9807, 0.4296)  2 Zr 2.09-2.11
O (0.2125, 0.7126, 0.3490)  2 Zr 2.08-2.09
O (0.2127, 0.7128, 0.5110)  2 Zr 2.10
O (0.2127, 0.7872, 0.0110)  2 Zr 2.10
O (0.2125, 0.7874, 0.8490)  2 Zr 2.08-2.09
O (0.2137, 0.7135, 0.6307)  2 Zr 2.10-2.11
O (0.2137, 0.7865, 0.1307)  2 Zr 2.10-2.11
O (0.2863, 0.2135, 0.6307)  2 Zr 2.10-2.11
O (0.2863, 0.2865, 0.1307)  2 Zr 2.10-2.11
O (0.2875, 0.2126, 0.3490)  2 Zr 2.08-2.09
O (0.2873, 0.2128, 0.5110)  2 Zr 2.10
O (0.2873, 0.2872, 0.0110)  2 Zr 2.10
O (0.2875, 0.2874, 0.8490)  2 Zr 2.08-2.09
O (0.4262, 0.0193, 0.9296)  2 Zr 2.09-2.11
O (0.4262, 0.4807, 0.4296)  2 Zr 2.09-2.11
O (0.4344, 0.0223, 0.2121)  1 Zr 2.08
O (0.4344, 0.4777, 0.7121)  1 Zr 2.08
O (0.5656, 0.5223, 0.2879)  1 Zr 2.08
O (0.5656, 0.9777, 0.7879)  1 Zr 2.08
O (0.5738, 0.5193, 0.5704)  2 Zr 2.09-2.11
O (0.5738, 0.9807, 0.0704)  2 Zr 2.09-2.11
O (0.7125, 0.7126, 0.1510)  2 Zr 2.08-2.09
O (0.7127, 0.7128, 0.9890)  2 Zr 2.10
O (0.7127, 0.7872, 0.4890)  2 Zr 2.10
O (0.7125, 0.7874, 0.6510)  2 Zr 2.08-2.09
O (0.7137, 0.7135, 0.8693)  2 Zr 2.10-2.11
O (0.7137, 0.7865, 0.3693)  2 Zr 2.10-2.11
O (0.7863, 0.2135, 0.8693)  2 Zr 2.10-2.11
O (0.7863, 0.2865, 0.3693)  2 Zr 2.10-2.11
O (0.7875, 0.2126, 0.1510)  2 Zr 2.08-2.09
O (0.7873, 0.2128, 0.9890)  2 Zr 2.10
O (0.7873, 0.2872, 0.4890)  2 Zr 2.10
O (0.7875, 0.2874, 0.6510)  2 Zr 2.08-2.09
O (0.9262, 0.0193, 0.5704)  2 Zr 2.09-2.11
O (0.9262, 0.4807, 0.0704)  2 Zr 2.09-2.11
O (0.9344, 0.0223, 0.2879)  1 Zr 2.08
O (0.9344, 0.4777, 0.7879)  1 Zr 2.08


(8)
Crystalline Sr2Zr7O16 at its relaxed geometry, computed with PBEsol.

* DOS(E_F): 0.00 states/eV/atom
* spin magnetization: 0.00 μB/cell
* formation energy without anion corrections: -3440 meV/atom

Cell lengths 9.6412, 9.6412, 9.6412 Å; angles 38.69, 38.69, 38.69 degrees
Last column: nearest neighbours and their distance in Å.
Fractional coordinates of all 25 atoms:
Sr (0.1665, 0.1665, 0.1665)  8 O 2.53-2.61
Sr (0.8335, 0.8335, 0.8335)  8 O 2.53-2.61
Zr (0.0121, 0.7561, 0.3862)  6 O 2.04-2.27
Zr (0.2439, 0.6138, 0.9879)  6 O 2.04-2.27
Zr (0.3862, 0.0121, 0.7561)  6 O 2.04-2.27
Zr (0.5000, 0.5000, 0.5000)  6 O 2.10
Zr (0.6138, 0.9879, 0.2439)  6 O 2.04-2.27
Zr (0.7561, 0.3862, 0.0121)  6 O 2.04-2.27
Zr (0.9879, 0.2439, 0.6138)  6 O 2.04-2.27
O (0.0720, 0.0720, 0.0720)  3 Zr 2.10
O (0.0857, 0.3505, 0.6539)  4 Zr 2.17-2.29
O (0.1771, 0.7329, 0.4634)  2 Zr 2.04-2.10
O (0.2629, 0.2629, 0.2629)  3 Zr 2.07
O (0.2671, 0.5366, 0.8229)  2 Zr 2.04-2.10
O (0.3461, 0.9143, 0.6495)  4 Zr 2.17-2.29
O (0.3505, 0.6539, 0.0857)  4 Zr 2.17-2.29
O (0.4634, 0.1771, 0.7329)  2 Zr 2.04-2.10
O (0.5366, 0.8229, 0.2671)  2 Zr 2.04-2.10
O (0.6495, 0.3461, 0.9143)  4 Zr 2.17-2.29
O (0.6539, 0.0857, 0.3505)  4 Zr 2.17-2.29
O (0.7329, 0.4634, 0.1771)  2 Zr 2.04-2.10
O (0.7371, 0.7371, 0.7371)  3 Zr 2.07
O (0.8229, 0.2671, 0.5366)  2 Zr 2.04-2.10
O (0.9143, 0.6495, 0.3461)  4 Zr 2.17-2.29
O (0.9280, 0.9280, 0.9280)  3 Zr 2.10